(1)
## Ce6Cd2Hg (PBE)

Data for a geometry-optimized Ce6Cd2Hg structure.

```
Ce6Cd2Hg
1.0
-1.897 -1.607 1.710
-1.290 -5.850 -6.926
6.711 -1.479 6.052
Ce Cd Hg
6 2 1
direct
0.500 0.000 0.670
0.500 0.670 0.670
0.500 0.670 0.000
0.500 0.330 0.330
0.500 0.000 0.330
0.500 0.330 0.000
0.000 0.667 0.333
0.000 0.333 0.667
0.000 0.000 0.000
```

Properties
- magnetic moment (μB/f.u.) = 3.91
- E_form (meV per atom) = -107
- space-group type = P6/mmm, No. 191
- V (Å³/cell) = 219.1


(2)
## CeCdHg4 (PBE)

Data for a geometry-optimized CeCdHg4 structure.

```
CeCdHg4
1.0
6.045 0.000 0.000
3.023 5.236 0.000
3.023 1.745 4.936
Cd Hg Ce
1 4 1
direct
0.000 0.000 0.000
0.625 0.125 0.625
0.625 0.625 0.625
0.625 0.625 0.125
0.125 0.625 0.625
0.250 0.250 0.250
```

Properties
- magnetic moment (μB/f.u.) = 1.06
- E_form (meV per atom) = -42
- space-group type = F-43m, No. 216
- V (Å³/cell) = 156.2


(3)
## Ce3Cd2Hg4 (PBE)

Data for a geometry-optimized Ce3Cd2Hg4 structure.

```
Ce3Cd2Hg4
1.0
5.090 0.000 0.000
-2.545 5.472 -0.940
0.000 -3.543 8.737
Hg Ce Cd
4 3 2
direct
0.283 0.566 0.946
0.939 0.878 0.608
0.717 0.434 0.054
0.061 0.122 0.392
0.335 0.670 0.331
0.000 0.000 0.000
0.665 0.330 0.669
0.613 0.226 0.281
0.387 0.774 0.719
```

Properties
- magnetic moment (μB/f.u.) = 3.92
- E_form (meV per atom) = -333
- space-group type = C2/m, No. 12
- V (Å³/cell) = 226.4


(4)
## Ce2Cd2Hg3 (PBE)

Data for a geometry-optimized Ce2Cd2Hg3 structure.

```
Ce2Cd2Hg3
1.0
3.857 0.000 -0.920
0.000 8.391 0.000
0.681 0.000 11.407
Ce Cd Hg
4 4 6
direct
0.147 0.250 0.294
0.054 0.750 0.109
0.946 0.250 0.891
0.853 0.750 0.706
0.323 0.435 0.646
0.677 0.565 0.354
0.323 0.065 0.646
0.677 0.935 0.354
0.444 0.574 0.887
0.244 0.750 0.489
0.756 0.250 0.511
0.444 0.926 0.887
0.556 0.074 0.113
0.556 0.426 0.113
```

Properties
- magnetic moment (μB/f.u.) = 2.18
- E_form (meV per atom) = -202
- space-group type = Cmcm, No. 63
- V (Å³/cell) = 374.5